# 1
{
  "formula": "YRe2Mo",
  "functional": "SCAN",
  "state": "single point on PBEsol structure",
  "de_polymorph_mev_per_atom": 235,
  "total_energy_ev_per_fu": -202.8,
  "n_ef_per_ev_fu": 3.3,
  "space_group": "R3m",
  "crystal_system": "trigonal",
  "delta_e_f_kj_per_mol_fu": 204,
  "lattice": [[-1.052, 2.501, 0.825], [-1.949, 0.109, 2.058], [6.047, 1.646, 7.595]],
  "species": ["Mo", "Re", "Re", "Y"],
  "frac_coords": [[0.259, 0.259, 0.223], [0.002, 0.002, 0.994], [0.741, 0.741, 0.778], [0.498, 0.498, 0.505]]
}


# 2
{
  "formula": "ScZn2Hg",
  "functional": "SCAN",
  "state": "single point on PBEsol structure",
  "total_energy_ev_per_fu": -110.7,
  "n_ef_per_ev_fu": 2.4,
  "space_group": "P4/mmm",
  "crystal_system": "tetragonal",
  "delta_e_f_kj_per_mol_fu": -121,
  "lattice": [[4.094, 0.000, 0.000], [0.000, 4.203, 0.000], [0.000, 0.000, 4.096]],
  "species": ["Sc", "Zn", "Zn", "Hg"],
  "frac_coords": [[0.000, 0.500, 0.500], [0.000, 0.000, 0.000], [0.500, 0.000, 0.500], [0.500, 0.500, 0.000]]
}


# 3
{
  "formula": "TlGaCl4",
  "functional": "SCAN",
  "state": "single point on PBEsol structure",
  "total_energy_ev_per_fu": -128.2,
  "n_ef_per_ev_fu": 0.0,
  "space_group": "Pnma",
  "crystal_system": "orthorhombic",
  "lattice": [[7.012, 0.000, 0.000], [0.000, 9.463, 0.000], [0.000, 0.000, 10.466]],
  "species": ["Tl", "Tl", "Tl", "Tl", "Ga", "Ga", "Ga", "Ga", "Cl", "Cl", "Cl", "Cl", "Cl", "Cl", "Cl", "Cl", "Cl", "Cl", "Cl", "Cl", "Cl", "Cl", "Cl", "Cl"],
  "frac_coords": [[0.750, 0.276, 0.202], [0.750, 0.224, 0.702], [0.250, 0.776, 0.298], [0.250, 0.724, 0.798], [0.750, 0.815, 0.058], [0.750, 0.685, 0.558], [0.250, 0.315, 0.442], [0.250, 0.185, 0.942], [0.002, 0.679, 0.059], [0.250, 0.058, 0.115], [0.998, 0.179, 0.441], [0.750, 0.558, 0.385], [0.750, 0.940, 0.233], [0.498, 0.821, 0.559], [0.502, 0.321, 0.941], [0.750, 0.560, 0.733], [0.750, 0.942, 0.885], [0.002, 0.821, 0.559], [0.502, 0.179, 0.441], [0.250, 0.442, 0.615], [0.998, 0.321, 0.941], [0.250, 0.440, 0.267], [0.250, 0.060, 0.767], [0.498, 0.679, 0.059]]
}